Record 1
The following is a DFT calculation (GGA-PBE) of an optimized crystal structure of K4Sm3HoSe8.

Computed properties:
**V**: 30.43 A^3/atom
**Formation energy (no corrections)**: -1.76 eV/atom
**Spin magnetization**: 0.0 μB per cell
**Calculated total energy**: -0.182 hartree per atom

a = 8.5480 Å, b = 9.1434 Å, c = 8.5479 Å
α = 117.89°, β = 120.00°, γ = 90.00°
Element x y z (fractional)
Se 0.2330 0.7070 0.9742
Se 0.7366 0.7096 0.4732
Se 0.2588 0.2930 0.0258
Se 0.7670 0.2930 0.5340
Se 0.7412 0.7070 0.9742
Se 0.7670 0.2930 0.0258
Se 0.2634 0.2904 0.5268
Se 0.2330 0.7070 0.4660
Sm 0.0000 0.5000 0.5000
Sm 0.5000 0.5000 0.0000
Sm 0.5000 0.5000 0.5000
K 0.0000 0.0000 0.5000
K 0.5000 0.0000 0.0000
K 0.0000 0.0000 0.0000
K 0.5000 0.0000 0.5000
Ho 0.0000 0.5000 0.0000



Record 2
The following is a DFT calculation (GGA-PBE) of an optimized crystal structure of Ho6Er4Zr.

Computed properties:
**V**: 30.17 A^3/atom
**Formation energy from the elements**: 0.155 eV/atom
**Spin magnetization**: 2.5 μB per cell
**Calculated total energy**: -0.176 hartree per atom

a = 8.6761 Å, b = 8.6761 Å, c = 8.8177 Å
α = 90.00°, β = 90.00°, γ = 90.00°
Last column: magnetic moment on the atom in μB.
Element x y z (fractional)
Er 0.1460 0.6460 0.2500  0.03
Er 0.3540 0.1460 0.7500  0.03
Er 0.8540 0.3540 0.7500  0.03
Er 0.6460 0.8540 0.2500  0.03
Er 0.8540 0.3540 0.2500  0.03
Er 0.6460 0.8540 0.7500  0.03
Er 0.1460 0.6460 0.7500  0.03
Er 0.3540 0.1460 0.2500  0.03
Ho 0.1509 0.3463 0.5000  0.04
Ho 0.5000 0.5000 0.3256  0.20
Ho 0.6537 0.1509 0.5000  0.04
Ho 0.8491 0.6537 0.5000  0.04
Ho 0.3463 0.8491 0.5000  0.04
Ho 0.0000 0.0000 0.8256  0.20
Ho 0.3491 0.8463 0.0000  0.04
Ho 0.8463 0.6509 0.0000  0.04
Ho 0.1537 0.3491 0.0000  0.04
Ho 0.0000 0.0000 0.1744  0.20
Ho 0.6509 0.1537 0.0000  0.04
Ho 0.5000 0.5000 0.6744  0.20
Zr 0.0000 0.0000 0.5000  0.43
Zr 0.5000 0.5000 0.0000  0.43



Record 3
The following is a DFT calculation (GGA-PBE) of an optimized crystal structure of BaAcSi.

Computed properties:
**V**: 40.38 A^3/atom
**Formation energy (no corrections)**: -0.27 eV/atom
**Spin magnetization**: 0.6 μB per cell
**Calculated total energy**: -0.150 hartree per atom

a = 4.4313 Å, b = 6.1161 Å, c = 9.8257 Å
α = 85.25°, β = 102.77°, γ = 111.11°
Element x y z (fractional)
Ba 0.6416 0.0494 0.1878
Ba 0.2186 0.5014 0.9052
Si 0.3131 0.1358 0.4504
Si 0.5470 0.4151 0.6426
Ac 0.8454 0.9821 0.6725
Ac 0.0147 0.5688 0.4206